(1)
The following is a DFT calculation (PBE-GGA) of a relaxed GaH2O crystal.

As for the energy relative to the lowest polymorph listed for this composition: 1300 meV/atom. As for the crystal system: cubic.

It has space group Fm-3m (No. 225), with a = 4.936 Å, b = 4.936 Å, c = 4.936 Å, α = 90.00°, β = 90.00° and γ = 90.00°. The distinct sites, in fractional coordinates, are Ga at (0.000, 0.000, 0.000), H at (0.250, 0.250, 0.250) and O at (0.000, 0.000, 0.500).

=====

(2)
The following is a DFT calculation (PBE-GGA) of a relaxed TlSiAu2 crystal.

Its uncorrected formation energy is 0.91 eV/f.u. As for the energy relative to the lowest polymorph listed for this composition: 258 meV/atom. As for the crystal system: orthorhombic.

It has space group Imm2 (No. 44), with a = 3.350 Å, b = 5.438 Å, c = 9.227 Å, α = 90.00°, β = 90.00° and γ = 90.00°. The distinct sites, in fractional coordinates, are Tl at (0.000, 0.000, 0.000), Si at (0.000, 0.500, 0.227), Au at (0.000, 0.000, 0.528) and Au at (0.000, 0.500, 0.777).

=====

(3)
The following is a DFT calculation (PBE-GGA) of a relaxed ZrRuO2F crystal.

Its uncorrected formation energy is -4.19 eV/f.u. As for the crystal system: tetragonal.

It has space group P4/mmm (No. 123), with a = 3.984 Å, b = 3.984 Å, c = 3.973 Å, α = 90.00°, β = 90.00° and γ = 90.00°. The distinct sites, in fractional coordinates, are Zr at (0.000, 0.000, 0.000), Ru at (0.500, 0.500, 0.500), O at (0.000, 0.500, 0.500) and F at (0.500, 0.500, 0.000).

=====

(4)
The following is a DFT calculation (PBE-GGA) of a relaxed ZnHN2F crystal.

As for the energy relative to the lowest polymorph listed for this composition: 0 meV/atom. As for the crystal system: tetragonal.

It has space group P4/mmm (No. 123), with a = 2.973 Å, b = 2.973 Å, c = 4.626 Å, α = 90.00°, β = 90.00° and γ = 90.00°. The distinct sites, in fractional coordinates, are Zn at (0.000, 0.000, 0.000), H at (0.500, 0.500, 0.500), N at (0.000, 0.500, 0.500) and F at (0.500, 0.500, 0.000).